(1)
Entry from Alexandria via LeMat-Bulk: a geometry-optimized Zr2InRh structure (PBE-GGA).

Unit cell a=3.1719 b=4.1318 c=6.0722 alpha=90.00 beta=94.69 gamma=90.00
Sites, in units of the cell vectors:
Zr1 0.0448 0.0000 0.2674
Zr2 0.9552 0.0000 0.7326
In1 0.5000 0.5000 0.0000
Rh1 0.5000 0.5000 0.5000

(2)
Entry from Alexandria via LeMat-Bulk: a geometry-optimized Zr2InRh structure (PBE-GGA).

Unit cell a=3.1241 b=3.1241 c=8.2084 alpha=90.00 beta=90.00 gamma=90.00
Sites, in units of the cell vectors:
Zr1 0.0000 0.0000 0.2204
Zr2 0.0000 0.0000 0.7796
In1 0.5000 0.5000 0.5000
Rh1 0.5000 0.5000 0.0000

(3)
Entry from Alexandria via LeMat-Bulk: a geometry-optimized Zr5In4Rh2 structure (PBE-GGA).

Unit cell a=7.6586 b=17.5921 c=3.4038 alpha=90.00 beta=90.00 gamma=90.00
Sites, in units of the cell vectors:
Zr1 0.0000 0.0000 0.0000
Zr2 0.1396 0.4203 0.0000
Zr3 0.2408 0.7214 0.0000
Zr4 0.2592 0.2214 0.0000
Zr5 0.3604 0.9203 0.0000
Zr6 0.5000 0.5000 0.0000
Zr7 0.6396 0.0797 0.0000
Zr8 0.7408 0.7786 0.0000
Zr9 0.7592 0.2786 0.0000
Zr10 0.8604 0.5797 0.0000
In1 0.0614 0.8502 0.5000
In2 0.1983 0.5675 0.5000
In3 0.3017 0.0675 0.5000
In4 0.4386 0.3502 0.5000
In5 0.5614 0.6498 0.5000
In6 0.6983 0.9325 0.5000
In7 0.8017 0.4325 0.5000
In8 0.9386 0.1498 0.5000
Rh1 0.0512 0.3067 0.5000
Rh2 0.4488 0.8067 0.5000
Rh3 0.5512 0.1933 0.5000
Rh4 0.9488 0.6933 0.5000

(4)
Entry from Alexandria via LeMat-Bulk: a geometry-optimized ZrIn2Rh structure (PBE-GGA).

Unit cell a=4.8136 b=4.8136 c=4.8136 alpha=60.00 beta=60.00 gamma=60.00
Sites, in units of the cell vectors:
Zr1 0.0000 0.0000 0.0000
In1 0.2500 0.2500 0.2500
In2 0.5000 0.5000 0.5000
Rh1 0.7500 0.7500 0.7500

| no. | formation enthalpy at 0 K (eV/atom) | VASP energy (eV for the cell shown) |
| --- | --- | --- |
| 1 | -0.43 | -28.91 |
| 2 | -0.50 | -29.20 |
| 3 | -0.54 | -148.64 |
| 4 | -0.26 | -22.43 |